Record 1
A relaxed structure of Ac2Cd5Au3, computed with PBE-GGA.

Values from the calculation:
**E_form**: -442 meV/atom
**Size of the total moment**: 0.000 μB/atom
**E above lowest polymorph**: 1.98 kJ per mole of atoms
**SG**: Ibam

abc: 9.515 9.515 9.515
angles: 96.99 95.99 140.70
Atoms (fractional coordinates):
Ac 0.246 0.125 0.371
Ac 0.254 0.625 0.879
Ac 0.746 0.375 0.121
Ac 0.754 0.875 0.629
Cd 0.130 0.874 0.004
Cd 0.250 0.513 0.263
Cd 0.250 0.750 0.500
Cd 0.250 0.987 0.737
Cd 0.370 0.374 0.744
Cd 0.630 0.626 0.256
Cd 0.750 0.013 0.263
Cd 0.750 0.250 0.500
Cd 0.750 0.487 0.737
Cd 0.870 0.126 0.996
Au 0.153 0.380 0.533
Au 0.250 0.250 0.000
Au 0.347 0.880 0.227
Au 0.653 0.120 0.773
Au 0.750 0.750 0.000
Au 0.847 0.620 0.467


Record 2
A relaxed structure of AcCdAu2, computed with PBE-GGA.

Values from the calculation:
**E_form**: -505 meV/atom
**Size of the total moment**: 0.000 μB/atom
**E above lowest polymorph**: 13.90 kJ per mole of atoms
**SG**: R3m

abc: 7.177 7.177 7.177
angles: 36.22 36.22 36.22
Atoms (fractional coordinates):
Ac 0.000 0.000 0.000
Cd 0.177 0.177 0.177
Au 0.430 0.430 0.430
Au 0.575 0.575 0.575


Record 3
A relaxed structure of Ac5Cd4Au, computed with PBE-GGA.

Values from the calculation:
**E_form**: -392 meV/atom
**Size of the total moment**: 0.000 μB/atom
**SG**: P4/mmm

abc: 4.037 4.037 20.258
angles: 90.00 90.00 90.00
Atoms (fractional coordinates):
Ac 0.000 0.000 0.000
Ac 0.000 0.000 0.204
Ac 0.000 0.000 0.408
Ac 0.000 0.000 0.592
Ac 0.000 0.000 0.796
Cd 0.500 0.500 0.102
Cd 0.500 0.500 0.303
Cd 0.500 0.500 0.697
Cd 0.500 0.500 0.898
Au 0.500 0.500 0.500


Record 4
A relaxed structure of AcCdAu4, computed with PBE-GGA.

Values from the calculation:
**E_form**: 275 meV/atom
**Size of the total moment**: 0.000 μB/atom
**E above lowest polymorph**: 72.85 kJ per mole of atoms
**SG**: P4/mmm

abc: 5.011 5.011 7.789
angles: 90.00 90.00 90.00
Atoms (fractional coordinates):
Ac 0.000 0.000 0.000
Cd 0.500 0.500 0.500
Au 0.000 0.500 0.500
Au 0.500 0.000 0.500
Au 0.500 0.500 0.165
Au 0.500 0.500 0.835


Record 5
A relaxed structure of AcCdAu2, computed with PBE-GGA.

Values from the calculation:
**E_form**: -649 meV/atom
**Size of the total moment**: 0.000 μB/atom
**E above lowest polymorph**: 0.00 kJ per mole of atoms
**SG**: R-3m

abc: 5.654 5.654 5.654
angles: 51.64 51.64 51.64
Atoms (fractional coordinates):
Ac 0.000 0.000 0.000
Cd 0.500 0.500 0.500
Au 0.223 0.223 0.223
Au 0.777 0.777 0.777


Record 6
A relaxed structure of Ac4Cd3Au5, computed with PBE-GGA.

Values from the calculation:
**E_form**: -518 meV/atom
**Size of the total moment**: 0.000 μB/atom
**SG**: C2/m

abc: 7.676 7.676 11.821
angles: 124.00 124.00 38.89
Atoms (fractional coordinates):
Ac 0.028 0.028 0.303
Ac 0.256 0.256 0.732
Ac 0.744 0.744 0.268
Ac 0.972 0.972 0.697
Cd 0.000 0.000 0.000
Cd 0.305 0.305 0.067
Cd 0.695 0.695 0.933
Au 0.304 0.304 0.495
Au 0.418 0.418 0.357
Au 0.500 0.500 0.000
Au 0.582 0.582 0.643
Au 0.696 0.696 0.505


Record 7
A relaxed structure of Ac3CdAu, computed with PBE-GGA.

Values from the calculation:
**E_form**: -281 meV/atom
**Size of the total moment**: 0.000 μB/atom
**E above lowest polymorph**: 11.15 kJ per mole of atoms
**SG**: C2/c

abc: 8.645 8.645 13.446
angles: 108.01 108.01 57.05
Atoms (fractional coordinates):
Ac 0.050 0.234 0.783
Ac 0.175 0.708 0.960
Ac 0.234 0.050 0.283
Ac 0.263 0.409 0.636
Ac 0.292 0.825 0.540
Ac 0.409 0.263 0.136
Ac 0.591 0.737 0.864
Ac 0.708 0.175 0.460
Ac 0.737 0.591 0.364
Ac 0.766 0.950 0.717
Ac 0.825 0.292 0.040
Ac 0.950 0.766 0.217
Cd 0.228 0.464 0.382
Cd 0.464 0.228 0.882
Cd 0.536 0.772 0.118
Cd 0.772 0.536 0.618
Au 0.000 0.500 0.000
Au 0.187 0.813 0.750
Au 0.500 0.000 0.500
Au 0.813 0.187 0.250


Record 8
A relaxed structure of Ac4CdAu3, computed with PBE-GGA.

Values from the calculation:
**E_form**: -665 meV/atom
**Size of the total moment**: 0.000 μB/atom
**SG**: Pmm2

abc: 4.234 5.009 12.018
angles: 90.00 90.00 90.00
Atoms (fractional coordinates):
Ac 0.000 0.000 0.000
Ac 0.000 0.500 0.263
Ac 0.500 0.000 0.484
Ac 0.500 0.500 0.771
Cd 0.000 0.000 0.708
Au 0.000 0.500 0.543
Au 0.500 0.000 0.216
Au 0.500 0.500 0.044